No. 1
Material: YTiHg2Ru
Method: DFT, GGA-PBEsol
State: relaxed

Computed properties:
Calculated volume   23.4 A^3/atom
Calculated density   9.1 g/cm³
Spin magnetization   0.001 μB/cell
Formation energy from the elements   185 meV/atom

abc: 5.1742 5.1742 4.3747
angles: 90.00 90.00 90.00
Closest atoms and distances in Å follow each position.
Atoms (fractional coordinates):
Y (0.0000, 0.0000, 0.0000)  8 Hg 3.39, 4 Ti 3.66
Ti (0.5000, 0.5000, 0.0000)  2 Ru 2.19
Hg (0.0000, 0.5000, 0.5000)  2 Ru 2.59
Hg (0.5000, 0.0000, 0.5000)  2 Ru 2.59
Ru (0.5000, 0.5000, 0.5000)  2 Ti 2.19

No. 2
Material: ZrAgHg2I
Method: DFT, GGA-PBEsol
State: relaxed

Computed properties:
Calculated volume   31.6 A^3/atom
Calculated density   7.6 g/cm³
Spin magnetization   2.328 μB/cell
VASP energy   -1.78 eV/atom

abc: 5.5626 5.5626 5.1100
angles: 90.00 90.00 90.00
Closest atoms and distances in Å follow each position.
Atoms (fractional coordinates):
Zr (0.0000, 0.0000, 0.0000)  8 Hg 3.78, 4 Ag 3.93
Ag (0.5000, 0.5000, 0.0000)  2 I 2.55
Hg (0.0000, 0.5000, 0.5000)  2 I 2.78
Hg (0.5000, 0.0000, 0.5000)  2 I 2.78
I (0.5000, 0.5000, 0.5000)  2 Ag 2.55, 4 Hg 2.78

No. 3
Material: K2TiCu2S4
Method: DFT, GGA-PBEsol
State: relaxed

Computed properties:
Calculated volume   21.1 A^3/atom
Calculated density   3.3 g/cm³
Spin magnetization   0.000 μB/cell
VASP energy   -5.16 eV/atom

abc: 5.4721 5.4721 12.6656
angles: 90.00 90.00 90.00
Closest atoms and distances in Å follow each position.
Atoms (fractional coordinates):
K (0.2420, 0.2420, 0.0000)  8 S 3.33, 4 Cu 3.71
K (0.2420, 0.7580, 0.5000)  8 S 3.33, 4 Cu 3.71
K (0.7580, 0.2420, 0.5000)  8 S 3.33, 4 Cu 3.71
K (0.7580, 0.7580, 0.0000)  8 S 3.33, 4 Cu 3.71
Ti (0.5000, 0.5000, 0.2500)  4 S 2.27
Ti (0.5000, 0.5000, 0.7500)  4 S 2.27
Cu (0.0000, 0.5000, 0.2500)  4 S 2.32
Cu (0.0000, 0.5000, 0.7500)  4 S 2.32
Cu (0.5000, 0.0000, 0.2500)  4 S 2.32
Cu (0.5000, 0.0000, 0.7500)  4 S 2.32
S (0.2578, 0.2578, 0.3507)  1 Ti 2.27, 2 Cu 2.32
S (0.2578, 0.2578, 0.6493)  1 Ti 2.27, 2 Cu 2.32
S (0.2578, 0.7422, 0.1493)  1 Ti 2.27, 2 Cu 2.32
S (0.2578, 0.7422, 0.8507)  1 Ti 2.27, 2 Cu 2.32
S (0.7422, 0.2578, 0.1493)  1 Ti 2.27, 2 Cu 2.32
S (0.7422, 0.2578, 0.8507)  1 Ti 2.27, 2 Cu 2.32
S (0.7422, 0.7422, 0.3507)  1 Ti 2.27, 2 Cu 2.32
S (0.7422, 0.7422, 0.6493)  1 Ti 2.27, 2 Cu 2.32

No. 4
Material: Na3MoP
Method: DFT, GGA-PBEsol
State: relaxed

Computed properties:
Calculated volume   30.9 A^3/atom
Calculated density   2.1 g/cm³
Spin magnetization   5.916 μB/cell
Formation energy from the elements   1037 meV/atom

abc: 5.3667 5.3667 5.3667
angles: 90.00 90.00 90.00
Closest atoms and distances in Å follow each position.
Atoms (fractional coordinates):
Na (0.0000, 0.0000, 0.5000)  2 P 2.68
Na (0.0000, 0.5000, 0.0000)  2 P 2.68
Na (0.5000, 0.0000, 0.0000)  2 P 2.68
Mo (0.5000, 0.5000, 0.5000)  12 Na 3.79
P (0.0000, 0.0000, 0.0000)  6 Na 2.68

No. 5
Material: Ba2InTe
Method: DFT, GGA-PBEsol
State: relaxed

Computed properties:
Calculated volume   36.0 A^3/atom
Calculated density   6.0 g/cm³
Spin magnetization   0.000 μB/cell
VASP energy   -3.61 eV/atom

abc: 5.9572 5.9572 4.1221
angles: 90.00 90.00 100.45
Closest atoms and distances in Å follow each position.
Atoms (fractional coordinates):
Ba (0.0000, 0.5000, 0.0000)  4 In 3.62, 4 Te 3.62, 2 Ba 3.81
Ba (0.5000, 0.0000, 0.0000)  4 In 3.62, 4 Te 3.62, 2 Ba 3.81
In (0.0000, 0.0000, 0.5000)  8 Ba 3.62, 2 Te 3.81
Te (0.5000, 0.5000, 0.5000)  8 Ba 3.62, 2 In 3.81

No. 6
Material: ErAu3
Method: DFT, GGA-PBEsol
State: relaxed

Computed properties:
Calculated volume   18.9 A^3/atom
Calculated density   16.6 g/cm³
Spin magnetization   0.000 μB/cell
Formation energy from the elements   -681 meV/atom

abc: 4.7503 4.7503 4.7503
angles: 60.00 60.00 60.00
Closest atoms and distances in Å follow each position.
Atoms (fractional coordinates):
Er (0.0000, 0.0000, 0.0000)  8 Au 2.91
Au (0.2500, 0.2500, 0.2500)  4 Er 2.91, 4 Au 2.91
Au (0.5000, 0.5000, 0.5000)  8 Au 2.91
Au (0.7500, 0.7500, 0.7500)  4 Au 2.91, 4 Er 2.91

No. 7
Material: CaS2N2
Method: DFT, GGA-PBEsol
State: relaxed

Computed properties:
Calculated volume   14.4 A^3/atom
Calculated density   3.1 g/cm³
Spin magnetization   0.000 μB/cell
VASP energy   -5.14 eV/atom

abc: 5.1666 5.1666 5.1666
angles: 133.30 133.30 68.18
Closest atoms and distances in Å follow each position.
Atoms (fractional coordinates):
Ca (0.0000, 0.0000, 0.0000)  2 S 2.59
S (0.3026, 0.3026, 0.0000)  4 N 2.10
S (0.6974, 0.6974, 0.0000)  4 N 2.10
N (0.2500, 0.7500, 0.5000)  4 S 2.10
N (0.7500, 0.2500, 0.5000)  4 S 2.10

No. 8
Material: Li3Mn3TeO8
Method: DFT, GGA-PBEsol
State: relaxed

Computed properties:
Calculated volume   10.7 A^3/atom
Calculated density   4.6 g/cm³
Spin magnetization   13.797 μB/cell
VASP energy   -6.90 eV/atom

abc: 6.0072 6.0072 6.0072
angles: 61.90 61.90 61.90
Closest atoms and distances in Å follow each position.
Atoms (fractional coordinates):
Li (0.0000, 0.5000, 0.5000)  6 O 2.14-2.31
Li (0.5000, 0.0000, 0.5000)  6 O 2.14-2.31
Li (0.5000, 0.5000, 0.0000)  6 O 2.14-2.31
Mn (0.0000, 0.0000, 0.5000)  6 O 2.02-2.19
Mn (0.0000, 0.5000, 0.0000)  6 O 2.02-2.19
Mn (0.5000, 0.0000, 0.0000)  6 O 2.02-2.19
Te (0.5000, 0.5000, 0.5000)  6 O 1.95
O (0.2318, 0.2318, 0.2318)  3 Mn 2.02
O (0.2735, 0.2735, 0.7213)  1 Te 1.95, 2 Li 2.14
O (0.2735, 0.7213, 0.2735)  1 Te 1.95, 2 Li 2.14
O (0.2787, 0.7265, 0.7265)  1 Te 1.95, 2 Li 2.14
O (0.7213, 0.2735, 0.2735)  1 Te 1.95, 2 Li 2.14
O (0.7265, 0.2787, 0.7265)  1 Te 1.95, 2 Li 2.14
O (0.7265, 0.7265, 0.2787)  1 Te 1.95, 2 Li 2.14
O (0.7682, 0.7682, 0.7682)  3 Mn 2.02

No. 9
Material: K3RbI
Method: DFT, GGA-PBEsol
State: relaxed

Computed properties:
Calculated volume   67.6 A^3/atom
Calculated density   1.6 g/cm³
Spin magnetization   0.000 μB/cell
VASP energy   -1.73 eV/atom

abc: 6.9671 6.9671 6.9671
angles: 90.00 90.00 90.00
Closest atoms and distances in Å follow each position.
Atoms (fractional coordinates):
K (0.0000, 0.0000, 0.5000)  2 I 3.48
K (0.0000, 0.5000, 0.0000)  2 I 3.48
K (0.5000, 0.0000, 0.0000)  2 I 3.48
Rb (0.5000, 0.5000, 0.5000)  12 K 4.93
I (0.0000, 0.0000, 0.0000)  6 K 3.48

No. 10
Material: CaAgTe2
Method: DFT, GGA-PBEsol
State: relaxed

Computed properties:
Calculated volume   27.1 A^3/atom
Calculated density   6.2 g/cm³
Spin magnetization   0.000 μB/cell
VASP energy   -3.80 eV/atom

abc: 6.5937 6.5937 6.5937
angles: 105.51 105.51 117.73
Closest atoms and distances in Å follow each position.
Atoms (fractional coordinates):
Ca (0.0000, 0.0000, 0.0000)  4 Te 3.13, 2 Ag 3.41
Ca (0.7500, 0.2500, 0.5000)  4 Te 3.13, 2 Ag 3.41
Ag (0.2500, 0.7500, 0.5000)  4 Te 2.78
Ag (0.5000, 0.5000, 0.0000)  4 Te 2.78
Te (0.1575, 0.1250, 0.5325)  2 Ag 2.78
Te (0.3750, 0.8425, 0.9675)  2 Ag 2.78
Te (0.5925, 0.6250, 0.4675)  2 Ag 2.78
Te (0.8750, 0.4075, 0.0325)  2 Ag 2.78

No. 11
Material: Mn2CoBr
Method: DFT, GGA-PBEsol
State: relaxed

Computed properties:
Calculated volume   14.1 A^3/atom
Calculated density   7.3 g/cm³
Spin magnetization   8.862 μB/cell
ΔE to the lowest computed polymorph   0.4175 eV/atom

abc: 5.0043 5.0043 5.0043
angles: 137.56 137.56 61.57
Closest atoms and distances in Å follow each position.
Atoms (fractional coordinates):
Mn (0.0000, 0.0000, 0.0000)  4 Br 2.56, 4 Co 2.81, 4 Mn 2.81
Mn (0.7500, 0.2500, 0.5000)  4 Co 2.56, 4 Mn 2.81, 4 Br 2.81
Co (0.2500, 0.7500, 0.5000)  8 Mn 2.56-2.81, 4 Br 2.81
Br (0.5000, 0.5000, 0.0000)  8 Mn 2.56-2.81, 4 Co 2.81

No. 12
Material: NiBiRhSe2
Method: DFT, GGA-PBEsol
State: relaxed

Computed properties:
Calculated volume   21.0 A^3/atom
Calculated density   8.4 g/cm³
Spin magnetization   0.874 μB/cell
VASP energy   -4.87 eV/atom

abc: 4.8224 4.8224 4.5158
angles: 90.00 90.00 90.00
Closest atoms and distances in Å follow each position.
Atoms (fractional coordinates):
Ni (0.0000, 0.0000, 0.0000)  2 Rh 2.26
Bi (0.5000, 0.5000, 0.0000)  8 Se 3.30, 4 Ni 3.41
Rh (0.0000, 0.0000, 0.5000)  2 Ni 2.26, 4 Se 2.41
Se (0.0000, 0.5000, 0.5000)  2 Rh 2.41
Se (0.5000, 0.0000, 0.5000)  2 Rh 2.41

No. 13
Material: YScSi2O7
Method: DFT, GGA-PBEsol
State: relaxed

Computed properties:
Calculated volume   12.1 A^3/atom
Calculated density   3.8 g/cm³
Spin magnetization   0.000 μB/cell
VASP energy   -8.84 eV/atom

abc: 5.4774 5.4774 4.6927
angles: 97.05 97.05 104.74
Closest atoms and distances in Å follow each position.
Atoms (fractional coordinates):
Y (0.0000, 0.0000, 0.0000)  6 O 2.21-2.38
Sc (0.6115, 0.3885, 0.0000)  6 O 2.10-2.14
Si (0.0747, 0.4822, 0.5873)  4 O 1.63-1.64
Si (0.5178, 0.9253, 0.4127)  4 O 1.63-1.64
O (0.2393, 0.3273, 0.7754)  1 Si 1.64
O (0.2602, 0.7398, 0.5000)  2 Si 1.64
O (0.4033, 0.1079, 0.2112)  1 Si 1.64
O (0.6727, 0.7607, 0.2246)  1 Si 1.64
O (0.6869, 0.0861, 0.7202)  1 Si 1.63
O (0.8921, 0.5967, 0.7888)  1 Si 1.64
O (0.9139, 0.3131, 0.2798)  1 Si 1.63

No. 14
Material: AsN2ClF
Method: DFT, GGA-PBEsol
State: relaxed

Computed properties:
Calculated volume   11.3 A^3/atom
Calculated density   4.6 g/cm³
Spin magnetization   0.001 μB/cell
VASP energy   -4.31 eV/atom

abc: 3.8274 3.8274 3.8697
angles: 90.00 90.00 90.00
Closest atoms and distances in Å follow each position.
Atoms (fractional coordinates):
As (0.0000, 0.0000, 0.0000)  4 N 1.91, 2 F 1.93
N (0.0000, 0.5000, 0.0000)  2 As 1.91
N (0.5000, 0.0000, 0.0000)  2 As 1.91
Cl (0.5000, 0.5000, 0.5000)  4 F 2.71, 8 N 2.72
F (0.0000, 0.0000, 0.5000)  2 As 1.93

No. 15
Material: EuAl2Cl8
Method: DFT, GGA-PBEsol
State: relaxed

Computed properties:
Calculated volume   28.7 A^3/atom
Calculated density   2.6 g/cm³
Spin magnetization   14.000 μB/cell
VASP energy   -4.92 eV/atom

abc: 7.4036 6.9076 12.4303
angles: 90.00 95.91 90.00
Closest atoms and distances in Å follow each position.
Atoms (fractional coordinates):
Eu (0.0000, 0.1536, 0.2500)  8 Cl 2.95-2.99
Eu (0.0000, 0.8464, 0.7500)  8 Cl 2.95-2.99
Al (0.1780, 0.2621, 0.9248)  4 Cl 2.15
Al (0.1780, 0.7379, 0.4248)  4 Cl 2.15
Al (0.8220, 0.2621, 0.5752)  4 Cl 2.15
Al (0.8220, 0.7379, 0.0752)  4 Cl 2.15
Cl (0.1009, 0.1790, 0.6140)  1 Al 2.15
Cl (0.1009, 0.8210, 0.1140)  1 Al 2.15
Cl (0.2376, 0.4672, 0.3507)  1 Al 2.15
Cl (0.2376, 0.5328, 0.8507)  1 Al 2.15
Cl (0.2442, 0.3027, 0.0961)  1 Al 2.15
Cl (0.2442, 0.6973, 0.5961)  1 Al 2.15
Cl (0.3301, 0.0271, 0.8645)  1 Al 2.15
Cl (0.3301, 0.9729, 0.3645)  1 Al 2.15
Cl (0.6699, 0.0271, 0.6355)  1 Al 2.15
Cl (0.6699, 0.9729, 0.1355)  1 Al 2.15
Cl (0.7558, 0.3027, 0.4039)  1 Al 2.15
Cl (0.7558, 0.6973, 0.9039)  1 Al 2.15
Cl (0.7624, 0.4672, 0.1493)  1 Al 2.15
Cl (0.7624, 0.5328, 0.6493)  1 Al 2.15
Cl (0.8991, 0.1790, 0.8860)  1 Al 2.15
Cl (0.8991, 0.8210, 0.3860)  1 Al 2.15

No. 16
Material: FeWSe
Method: DFT, GGA-PBEsol
State: relaxed

Computed properties:
Calculated volume   16.3 A^3/atom
Calculated density   10.8 g/cm³
Spin magnetization   1.161 μB/cell
ΔE to the lowest computed polymorph   0.0000 eV/atom

abc: 4.1046 4.1046 4.1046
angles: 60.00 60.00 60.00
Closest atoms and distances in Å follow each position.
Atoms (fractional coordinates):
Fe (0.0000, 0.0000, 0.0000)  4 W 2.51
W (0.7500, 0.7500, 0.7500)  4 Fe 2.51, 4 Se 2.51
Se (0.5000, 0.5000, 0.5000)  4 W 2.51

No. 17
Material: BeCu2Os
Method: DFT, GGA-PBEsol
State: relaxed

Computed properties:
Calculated volume   11.4 A^3/atom
Calculated density   11.9 g/cm³
Spin magnetization   0.000 μB/cell
Formation energy from the elements   195 meV/atom

abc: 4.8008 4.8008 4.8008
angles: 148.58 127.05 62.88
Closest atoms and distances in Å follow each position.
Atoms (fractional coordinates):
Be (0.0000, 0.0000, 0.0000)  6 Cu 2.25-2.51, 2 Os 2.38
Cu (0.5187, 0.5187, 0.0000)  4 Cu 2.48-2.60, 4 Be 2.51, 2 Os 2.61
Cu (0.7764, 0.2764, 0.5000)  2 Be 2.25, 2 Cu 2.48
Os (0.2428, 0.7428, 0.5000)  2 Be 2.38, 6 Cu 2.52-2.61, 2 Os 2.60

No. 18
Material: TaGaSi2Sb
Method: DFT, GGA-PBEsol
State: relaxed

Computed properties:
Calculated volume   25.0 A^3/atom
Calculated density   5.7 g/cm³
Spin magnetization   0.000 μB/cell
VASP energy   -5.82 eV/atom

abc: 4.8755 4.8755 5.2610
angles: 90.00 90.00 90.00
Closest atoms and distances in Å follow each position.
Atoms (fractional coordinates):
Ta (0.0000, 0.0000, 0.0000)  4 Si 2.44, 2 Sb 2.63
Ga (0.5000, 0.5000, 0.5000)  4 Sb 3.45, 8 Si 3.59
Si (0.0000, 0.5000, 0.0000)  2 Ta 2.44
Si (0.5000, 0.0000, 0.0000)  2 Ta 2.44
Sb (0.0000, 0.0000, 0.5000)  2 Ta 2.63

No. 19
Material: TeIrW
Method: DFT, GGA-PBEsol
State: relaxed

Computed properties:
Calculated volume   17.1 A^3/atom
Calculated density   16.3 g/cm³
Spin magnetization   0.000 μB/cell
ΔE to the lowest computed polymorph   0.1539 eV/atom

abc: 4.4773 4.4773 2.9511
angles: 90.00 90.00 120.00
Closest atoms and distances in Å follow each position.
Atoms (fractional coordinates):
Te (0.0000, 0.0000, 0.0000)  3 W 2.67, 3 Ir 2.73, 2 Te 2.95
Ir (0.6667, 0.3333, 0.2926)  3 Te 2.73, 6 W 2.94-3.01, 2 Ir 2.95
W (0.3333, 0.6667, 0.7685)  3 Te 2.67, 3 Ir 2.94, 2 W 2.95

No. 20
Material: Sc2MnCd
Method: DFT, GGA-PBEsol
State: relaxed

Computed properties:
Calculated volume   18.2 A^3/atom
Calculated density   5.9 g/cm³
Spin magnetization   1.100 μB/cell
Formation energy from the elements   -120 meV/atom

abc: 3.1653 3.1653 7.2801
angles: 90.00 90.00 90.00
Closest atoms and distances in Å follow each position.
Atoms (fractional coordinates):
Sc (0.0000, 0.0000, 0.2085)  4 Mn 2.70
Sc (0.0000, 0.0000, 0.7915)  4 Mn 2.70
Mn (0.5000, 0.5000, 0.0000)  8 Sc 2.70
Cd (0.5000, 0.5000, 0.5000)  8 Sc 3.08, 4 Cd 3.17